(1)
# SrSm5Sb6

A relaxed SrSm5Sb6 crystal (PBE, the Alexandria database).

As for the calculated volume: 781.4 Å³/cell. As for the uncorrected formation energy: -1.11 eV/atom.

The structure belongs to space group C2/m (No. 12); the cell edges are 7.808, 13.538 and 7.840 Å and the angles 90.00°, 109.46° and 90.00°. Symmetry generates all atoms from Sr at (0.000, 0.000, 0.000), Sm at (0.000, 0.164, 0.500), Sm at (0.000, 0.332, 0.000), Sm at (0.000, 0.500, 0.500), Sb at (0.242, 0.500, 0.254) and Sb at (0.243, 0.329, 0.744).

(2)
# Sr3SmTh2Sb6

A relaxed Sr3SmTh2Sb6 crystal (PBE, the Alexandria database).

As for the calculated volume: 846.0 Å³/cell. As for the uncorrected formation energy: -1.00 eV/atom.

The structure belongs to space group C2/m (No. 12); the cell edges are 7.978, 13.820 and 8.121 Å and the angles 90.00°, 109.12° and 90.00°. Symmetry generates all atoms from Sr at (0.000, 0.000, 0.000), Sr at (0.000, 0.334, 0.000), Sm at (0.000, 0.500, 0.500), Th at (0.000, 0.167, 0.500), Sb at (0.243, 0.000, 0.731) and Sb at (0.244, 0.333, 0.730).

(3)
# Tb3SmSb2

A relaxed Tb3SmSb2 crystal (PBE, the Alexandria database).

For the energy above the most stable polymorph in this dataset, the calculation gives 0.220 eV per atom. As for the calculated volume: 778.2 Å³/cell. As for the uncorrected formation energy: -0.58 eV/atom.

The structure belongs to space group Ibam (No. 72); the cell edges are 7.032, 14.603 and 7.578 Å and the angles 90.00°, 90.00° and 90.00°. Symmetry generates all atoms from Tb at (0.000, 0.000, 0.250), Tb at (0.000, 0.295, 0.250), Sm at (0.000, 0.500, 0.000) and Sb at (0.168, 0.149, 0.000).

(4)
# Tb4SmSb2

A relaxed Tb4SmSb2 crystal (PBE, the Alexandria database).

As for the calculated volume: 464.4 Å³/cell. As for the uncorrected formation energy: 0.23 eV/atom.

The structure belongs to space group I4/mmm (No. 139); the cell edges are 5.294, 5.294 and 16.566 Å and the angles 90.00°, 90.00° and 90.00°. Symmetry generates all atoms from Tb at (0.000, 0.000, 0.184), Tb at (0.000, 0.500, 0.000), Sm at (0.000, 0.000, 0.000) and Sb at (0.000, 0.000, 0.367).

(5)
# Tb5Sm2Sb4

A relaxed Tb5Sm2Sb4 crystal (PBE, the Alexandria database).

As for the calculated volume: 719.9 Å³/cell. As for the uncorrected formation energy: -0.57 eV/atom.

The structure belongs to space group C2/m (No. 12); the cell edges are 22.371, 4.218 and 7.743 Å and the angles 90.00°, 99.82° and 90.00°. Symmetry generates all atoms from Tb at (0.000, 0.000, 0.000), Tb at (0.057, 0.500, 0.397), Tb at (0.186, 0.500, 0.079), Sm at (0.206, 0.500, 0.631), Sb at (0.073, 0.500, 0.799) and Sb at (0.145, 0.000, 0.322).

(6)
# TbSmSb2

A relaxed TbSmSb2 crystal (PBE, the Alexandria database).

For the energy above the most stable polymorph in this dataset, the calculation gives 0.070 eV per atom. As for the calculated volume: 247.9 Å³/cell. As for the uncorrected formation energy: -1.09 eV/atom.

The structure belongs to space group P6_3/mmc (No. 194); the cell edges are 4.4300, 4.4300 and 14.5862 Å and the angles 90.00°, 90.00° and 120.00°. Symmetry generates all atoms from Tb at (0.3333, 0.6667, 0.2500), Sm at (0.0000, 0.0000, 0.0000) and Sb at (0.3333, 0.6667, 0.6249).

(7)
# Tb2Sm2Sb5

A relaxed Tb2Sm2Sb5 crystal (PBE, the Alexandria database).

As for the calculated volume: 1064.5 Å³/cell. As for the uncorrected formation energy: -0.89 eV/atom.

The structure belongs to space group Cmce (No. 64); the cell edges are 15.955, 8.074 and 8.263 Å and the angles 90.00°, 90.00° and 90.00°. Symmetry generates all atoms from Tb at (0.000, 0.158, 0.162), Sm at (0.191, 0.000, 0.500), Sb at (0.000, 0.000, 0.500) and Sb at (0.138, 0.144, 0.856).

(8)
# Tb5SmSb4

A relaxed Tb5SmSb4 crystal (PBE, the Alexandria database).

As for the calculated volume: 667.0 Å³/cell. As for the uncorrected formation energy: -0.75 eV/atom.

The structure belongs to space group C2/m (No. 12); the cell edges are 18.798, 4.341 and 8.502 Å and the angles 90.00°, 105.97° and 90.00°. Symmetry generates all atoms from Tb at (0.000, 0.000, 0.000), Tb at (0.162, 0.500, 0.326), Tb at (0.177, 0.500, 0.849), Sm at (0.000, 0.000, 0.500), Sb at (0.009, 0.500, 0.761) and Sb at (0.171, 0.000, 0.590).